[1]
8
Lattice="6.8365 0.0000 0.0000 0.0000 4.0391 0.0000 -2.2242 0.0000 6.5583" Properties=species:S:1:pos:R:3 comment="PBE LiSm2UP4, relaxed" formation_energy_ev_per_atom=-1.04 final_energy_ev_per_atom=-6.576 rho_g_cm3=6.14 spacegroup="P2/m (10)" pbc="T T T"
Li 0.0000 0.0000 0.0000
Sm -1.1121 2.0195 3.2792
Sm 2.3061 0.0000 3.2792
U 3.4182 2.0195 0.0000
P 0.0682 0.0000 5.0237
P 1.2657 2.0195 1.5324
P 3.3465 2.0195 5.0259
P 4.5440 0.0000 1.5346

[2]
12
Lattice="3.5368 -6.1361 0.0000 3.5368 6.1361 0.0000 -2.3828 0.0000 7.6908" Properties=species:S:1:pos:R:3 comment="PBE K3Pu2RhSe6, relaxed" final_energy_ev_per_atom=-6.166 rho_g_cm3=5.88 spacegroup="C2/m (12)" pbc="T T T"
K 0.0000 0.0000 0.0000
K 3.5368 2.0999 0.0000
K 3.5368 -2.0999 0.0000
Pu 2.3453 4.0973 3.8454
Pu 2.3453 -4.0973 3.8454
Rh 2.3453 0.0000 3.8454
Se 1.2628 1.8866 2.3371
Se 0.1732 0.0000 5.3632
Se 1.2628 -1.8866 2.3371
Se 3.4279 1.8866 5.3537
Se 4.5175 0.0000 2.3275
Se 3.4279 -1.8866 5.3537

What did the second record say?
12
Lattice="3.5368 -6.1361 0.0000 3.5368 6.1361 0.0000 -2.3828 0.0000 7.6908" Properties=species:S:1:pos:R:3 comment="PBE K3Pu2RhSe6, relaxed" final_energy_ev_per_atom=-6.166 rho_g_cm3=5.88 spacegroup="C2/m (12)" pbc="T T T"
K 0.0000 0.0000 0.0000
K 3.5368 2.0999 0.0000
K 3.5368 -2.0999 0.0000
Pu 2.3453 4.0973 3.8454
Pu 2.3453 -4.0973 3.8454
Rh 2.3453 0.0000 3.8454
Se 1.2628 1.8866 2.3371
Se 0.1732 0.0000 5.3632
Se 1.2628 -1.8866 2.3371
Se 3.4279 1.8866 5.3537
Se 4.5175 0.0000 2.3275
Se 3.4279 -1.8866 5.3537